Ta2NiAs GGA-PBEsol relaxed; DFT formation energy = -0.42 eV per atom; N(E_F) = 0.51 states/eV/atom; symmetry = Amm2 (38)
1.0
3.613 0.000 0.000
0.000 3.394 0.000
0.000 0.000 9.781
Ta Ni As
4 2 2
Direct
0.000 0.000 0.000
0.000 0.500 0.500
0.500 0.000 0.324
0.500 0.500 0.824
0.500 0.000 0.586
0.500 0.500 0.086
0.000 0.000 0.727
0.000 0.500 0.227

---

TaNi2As GGA-PBEsol relaxed; DFT formation energy = -0.13 eV per atom; N(E_F) = 0.62 states/eV/atom; symmetry = F-43m (216)
1.0
5.959 0.000 0.000
0.000 5.959 0.000
0.000 0.000 5.959
Ta Ni As
4 8 4
Direct
0.000 0.000 0.000
0.000 0.500 0.500
0.500 0.000 0.500
0.500 0.500 0.000
0.000 0.000 0.500
0.000 0.500 0.000
0.250 0.250 0.250
0.250 0.750 0.750
0.500 0.000 0.000
0.500 0.500 0.500
0.750 0.250 0.750
0.750 0.750 0.250
0.250 0.250 0.750
0.250 0.750 0.250
0.750 0.250 0.250
0.750 0.750 0.750